1.
Material: TlAgPb2
Method: DFT, GGA-PBE
State: relaxed

a b c (Å): 5.0109 5.0109 6.2799
angles (deg): 66.49 66.49 60.00
Positions (direct):
Tl 0.4922 0.4922 0.5233
Ag 0.6772 0.6772 0.9685
Pb 0.0573 0.0573 0.8281
Pb 0.2733 0.2733 0.1801

Results
Total moment = 0.0 μB per formula unit
Formation enthalpy at 0 K = 0.4 eV/f.u.
Energy = -3.055 eV/atom



2.
Material: KInPb
Method: DFT, GGA-PBE
State: relaxed

a b c (Å): 4.9751 4.9736 8.6620
angles (deg): 90.00 90.02 90.00
Positions (direct):
Pb 0.7296 0.0513 0.9208
Pb 0.2291 0.5511 0.4750
K 0.2296 0.5513 0.0343
K 0.7290 0.0512 0.3618
In 0.2293 0.0511 0.6980
In 0.7292 0.5512 0.6979

Results
Total moment = 0.0 μB per formula unit
Formation enthalpy at 0 K = -0.6 eV/f.u.
Energy = -2.706 eV/atom



3.
Material: Zr2FeCo
Method: DFT, GGA-PBE
State: relaxed

a b c (Å): 6.8215 6.8215 5.6246
angles (deg): 52.67 52.67 90.00
Positions (direct):
Co 0.0000 0.0000 0.0000
Co 0.7500 0.2500 0.5000
Fe 0.5000 0.5000 0.0000
Fe 0.2500 0.7500 0.5000
Zr 0.6240 0.1250 0.2500
Zr 0.1260 0.6250 0.2500
Zr 0.3750 0.3760 0.7500
Zr 0.8750 0.8740 0.7500

Results
Total moment = 0.0 μB per formula unit
Formation enthalpy at 0 K = 1.0 eV/f.u.
Energy = -7.921 eV/atom



4.
Material: LiCeIO6
Method: DFT, GGA-PBE
State: relaxed

a b c (Å): 4.9746 4.9746 9.7264
angles (deg): 90.00 90.00 90.00
Positions (direct):
Li 0.5000 0.5000 0.1603
Li 0.0000 0.0000 0.6603
Ce 0.5000 0.5000 0.4929
Ce 0.0000 0.0000 0.9929
I 0.5000 0.5000 0.8342
I 0.0000 0.0000 0.3342
O 0.1807 0.8193 0.4801
O 0.8193 0.1807 0.4801
O 0.3193 0.3193 0.9801
O 0.6807 0.6807 0.9801
O 0.1837 0.8163 0.1914
O 0.8163 0.1837 0.1914
O 0.3163 0.3163 0.6914
O 0.6837 0.6837 0.6914
O 0.7719 0.2281 0.8348
O 0.2281 0.7719 0.8348
O 0.7281 0.7281 0.3348
O 0.2719 0.2719 0.3348

Results
Total moment = 0.0 μB per formula unit
Formation energy (no corrections) = -1598 meV per atom
Energy = -5.947 eV/atom



5.
Material: Pr3Hg4Rh4
Method: DFT, GGA-PBE
State: relaxed

a b c (Å): 4.1289 7.9909 8.7710
angles (deg): 117.10 103.61 90.00
Positions (direct):
Pr 0.1220 0.1220 0.2440
Pr 0.8780 0.8780 0.7560
Pr 0.0000 0.5000 0.0000
Hg 0.3331 0.1408 0.6662
Hg 0.6669 0.4746 0.3338
Hg 0.6669 0.8592 0.3338
Hg 0.3331 0.5254 0.6662
Rh 0.2347 0.7347 0.4694
Rh 0.7653 0.2653 0.5306
Rh 0.5000 0.8233 0.0000
Rh 0.5000 0.1767 0.0000

Results
Total moment = 0.0 μB per formula unit
Formation enthalpy at 0 K = -4.2 eV/f.u.
Energy = -4.468 eV/atom



6.
Material: GaSb2Au4
Method: DFT, GGA-PBE
State: relaxed

a b c (Å): 5.6897 8.4201 8.7217
angles (deg): 121.27 89.98 90.01
Positions (direct):
Sb 0.2500 0.3319 0.9059
Sb 0.7500 0.6681 0.0941
Sb 0.7500 0.6676 0.5741
Sb 0.2500 0.3324 0.4259
Au 0.5045 0.5130 0.7567
Au 0.9998 0.0003 0.2308
Au 0.0002 0.9997 0.7692
Au 0.9954 0.5130 0.7567
Au 0.4999 0.0001 0.2307
Au 0.0046 0.4870 0.2433
Au 0.4955 0.4870 0.2433
Au 0.5001 0.9999 0.7693
Ga 0.2499 0.8368 0.9183
Ga 0.7501 0.1632 0.0817

Results
Total moment = 0.0 μB per formula unit
Formation energy (no corrections) = -11 meV per atom
Energy = -3.494 eV/atom



7.
Material: Tl2Sb2PbAu
Method: DFT, GGA-PBE
State: relaxed

a b c (Å): 6.5575 6.3976 9.7130
angles (deg): 109.23 109.73 90.00
Positions (direct):
Tl 0.3694 0.1839 0.3678
Tl 0.6306 0.8161 0.6322
Tl 0.0017 0.3161 0.6322
Tl 0.9983 0.6839 0.3678
Sb 0.7942 0.1195 0.2391
Sb 0.4448 0.6195 0.2391
Sb 0.5552 0.3805 0.7609
Sb 0.2058 0.8805 0.7609
Pb 0.0000 0.7500 0.0000
Pb 0.0000 0.2500 0.0000
Au 0.5000 0.7500 0.0000
Au 0.5000 0.2500 0.0000

Results
Total moment = 0.0 μB per formula unit
Formation energy (no corrections) = 5 meV per atom
Energy = -3.322 eV/atom



8.
Material: Nb4GaSn
Method: DFT, GGA-PBE
State: relaxed

a b c (Å): 5.2691 6.5044 7.4983
angles (deg): 97.57 110.57 90.00
Positions (direct):
Nb 0.3487 0.0976 0.3390
Nb 0.9903 0.5976 0.3390
Nb 0.6785 0.9093 0.1445
Nb 0.4660 0.4093 0.1445
Nb 0.3215 0.0907 0.8555
Nb 0.5340 0.5907 0.8555
Nb 0.6513 0.9024 0.6610
Nb 0.0097 0.4024 0.6610
Ga 0.5000 0.5000 0.5000
Ga 0.0000 0.0000 0.5000
Sn 0.1083 0.7500 0.0000
Sn 0.8917 0.2500 0.0000

Results
Total moment = 0.0 μB per formula unit
Formation enthalpy at 0 K = 1.0 eV/f.u.
Energy = -7.724 eV/atom



9.
Material: AcCeNiAu
Method: DFT, GGA-PBE
State: relaxed

a b c (Å): 5.2421 5.2421 5.2421
angles (deg): 60.00 60.00 60.00
Positions (direct):
Ni 0.2500 0.2500 0.2500
Ac 0.5000 0.5000 0.5000
Au 0.7500 0.7500 0.7500
Ce 0.0000 0.0000 0.0000

Results
Total moment = 0.9 μB per formula unit
Formation enthalpy at 0 K = -1.4 eV/f.u.
Energy = -5.115 eV/atom



10.
Material: Tb2Si3Ir
Method: DFT, GGA-PBE
State: relaxed

a b c (Å): 5.7627 5.7627 8.1635
angles (deg): 110.79 110.79 89.68
Positions (direct):
Tb 0.7500 0.2500 0.5000
Tb 0.7475 0.2525 0.0000
Tb 0.2500 0.7500 0.5000
Tb 0.2525 0.7475 0.0000
Si 0.8343 0.8343 0.1672
Si 0.6672 0.6672 0.8328
Si 0.1657 0.1657 0.8328
Si 0.3328 0.3328 0.1672
Si 0.1671 0.1671 0.3342
Si 0.8329 0.8329 0.6658
Ir 0.6662 0.6662 0.3324
Ir 0.3338 0.3338 0.6676

Results
Total moment = 0.0 μB per formula unit
Formation energy (no corrections) = -919 meV per atom
Energy = -6.651 eV/atom



11.
Material: MnGaAs3
Method: DFT, GGA-PBE
State: relaxed

a b c (Å): 4.5736 4.5736 4.5736
angles (deg): 90.00 90.00 90.00
Positions (direct):
As 0.0000 0.5000 0.0000
As 0.0000 0.0000 0.5000
As 0.5000 0.0000 0.0000
Mn 0.0000 0.0000 0.0000
Ga 0.5000 0.5000 0.5000

Results
Total moment = 0.0 μB per formula unit
Formation enthalpy at 0 K = 1.9 eV/f.u.
Energy = -4.850 eV/atom



12.
Material: Zn2CoPt
Method: DFT, GGA-PBE
State: relaxed

a b c (Å): 4.6515 4.6515 4.6515
angles (deg): 131.92 131.92 70.35
Positions (direct):
Co 0.5000 0.5000 0.0000
Pt 0.7500 0.2500 0.5000
Zn 0.0000 0.0000 0.0000
Zn 0.2500 0.7500 0.5000

Results
Total moment = 1.5 μB per formula unit
Formation enthalpy at 0 K = -0.7 eV/f.u.
Energy = -4.110 eV/atom



13.
Material: Mg2Zn
Method: DFT, GGA-PBE
State: relaxed

a b c (Å): 7.2511 7.2511 4.8638
angles (deg): 90.00 90.00 152.46
Positions (direct):
Mg 0.5771 0.4229 0.2500
Mg 0.4229 0.5771 0.7500
Mg 0.2620 0.7380 0.2500
Mg 0.7380 0.2620 0.7500
Zn 0.9171 0.0829 0.2500
Zn 0.0829 0.9171 0.7500

Results
Total moment = 0.0 μB per formula unit
Formation enthalpy at 0 K = -0.1 eV/f.u.
Energy = -1.523 eV/atom



14.
Material: NaZn3Ag3
Method: DFT, GGA-PBE
State: relaxed

a b c (Å): 8.8928 8.8928 8.8928
angles (deg): 60.00 60.00 60.00
Positions (direct):
Na 0.2500 0.2500 0.2500
Na 0.7500 0.7500 0.7500
Zn 0.1482 0.8518 0.8518
Zn 0.1482 0.8518 0.1482
Zn 0.1482 0.1482 0.8518
Zn 0.8518 0.1482 0.8518
Zn 0.8518 0.1482 0.1482
Zn 0.8518 0.8518 0.1482
Ag 0.3430 0.6570 0.3430
Ag 0.3430 0.6570 0.6570
Ag 0.3430 0.3430 0.6570
Ag 0.6570 0.3430 0.6570
Ag 0.6570 0.3430 0.3430
Ag 0.6570 0.6570 0.3430

Results
Total moment = 0.0 μB per formula unit
Formation enthalpy at 0 K = 3.3 eV/f.u.
Energy = -1.483 eV/atom



15.
Material: Cu2AsCl
Method: DFT, GGA-PBE
State: relaxed

a b c (Å): 3.3992 3.3992 6.9450
angles (deg): 75.55 75.55 59.83
Positions (direct):
As 0.2500 0.2500 0.2500
Cu 0.9966 0.9966 0.0155
Cu 0.5034 0.5034 0.4845
Cl 0.7500 0.7500 0.7500

Results
Total moment = 0.0 μB per formula unit
Formation energy (no corrections) = -53 meV per atom
Energy = -3.726 eV/atom



16.
Material: NaHoInTe3
Method: DFT, GGA-PBE
State: relaxed

a b c (Å): 4.3350 8.9912 10.5158
angles (deg): 99.67 90.00 90.00
Positions (direct):
Na 0.2500 0.1501 0.1616
Na 0.7500 0.8499 0.8384
Ho 0.2500 0.6360 0.1581
Ho 0.7500 0.3640 0.8419
In 0.2500 0.1271 0.5555
In 0.7500 0.8729 0.4445
Te 0.7500 0.8869 0.1678
Te 0.2500 0.1131 0.8322
Te 0.2500 0.6555 0.4587
Te 0.7500 0.3445 0.5413
Te 0.7500 0.3975 0.1400
Te 0.2500 0.6025 0.8600

Results
Total moment = 0.0 μB per formula unit
Formation energy (no corrections) = -888 meV per atom
Energy = -3.898 eV/atom



17.
Material: BaAgIr2
Method: DFT, GGA-PBE
State: relaxed

a b c (Å): 5.3771 5.3771 5.3771
angles (deg): 131.33 115.52 84.76
Positions (direct):
Ir 0.9126 0.9126 0.0000
Ir 0.7989 0.2989 0.5000
Ba 0.2411 0.7411 0.5000
Ag 0.5474 0.5474 0.0000

Results
Total moment = 0.0 μB per formula unit
Formation enthalpy at 0 K = 1.7 eV/f.u.
Energy = -5.210 eV/atom



18.
Material: PmErCd
Method: DFT, GGA-PBE
State: relaxed

a b c (Å): 3.5204 3.4794 14.3875
angles (deg): 96.95 90.02 90.00
Positions (direct):
Pm 0.5602 0.5663 0.1326
Pm 0.5601 0.7214 0.4427
Er 0.5591 0.4142 0.8283
Er 0.0594 0.8293 0.6585
Cd 0.0604 0.1443 0.2887
Cd 0.0593 0.9869 0.9738

Results
Total moment = 0.0 μB per formula unit
Formation enthalpy at 0 K = -0.3 eV/f.u.
Energy = -3.525 eV/atom



19.
Material: AlFe2As
Method: DFT, GGA-PBE
State: relaxed

a b c (Å): 4.2545 4.2545 4.2545
angles (deg): 60.00 60.00 60.00
Positions (direct):
As 0.7500 0.7500 0.7500
Fe 0.0000 0.0000 0.0000
Fe 0.2500 0.2500 0.2500
Al 0.5000 0.5000 0.5000

Results
Total moment = 4.3 μB per formula unit
Formation enthalpy at 0 K = 0.6 eV/f.u.
Energy = -6.187 eV/atom



20.
Material: Ac2La3TbSe6
Method: DFT, GGA-PBE
State: relaxed

a b c (Å): 7.5142 7.5142 7.4933
angles (deg): 99.68 99.68 120.11
Positions (direct):
Ac 0.3342 0.6658 0.0000
Ac 0.6658 0.3342 0.0000
La 0.1721 0.8279 0.5000
La 0.8279 0.1721 0.5000
La 0.5000 0.5000 0.5000
Tb 0.0000 0.0000 0.0000
Se 0.9180 0.5992 0.7519
Se 0.7670 0.7670 0.2542
Se 0.0820 0.4008 0.2481
Se 0.5992 0.9180 0.7519
Se 0.2330 0.2330 0.7458
Se 0.4008 0.0820 0.2481

Results
Total moment = 0.0 μB per formula unit
Formation energy (no corrections) = -1905 meV per atom
Energy = -5.950 eV/atom



21.
Material: TiCoCuNi
Method: DFT, GGA-PBE
State: relaxed

a b c (Å): 4.0863 4.0863 4.0863
angles (deg): 60.00 60.00 60.00
Positions (direct):
Ni 0.5000 0.5000 0.5000
Co 0.0000 0.0000 0.0000
Cu 0.7500 0.7500 0.7500
Ti 0.2500 0.2500 0.2500

Results
Total moment = 0.0 μB per formula unit
Formation enthalpy at 0 K = -1.0 eV/f.u.
Energy = -6.460 eV/atom



22.
Material: NdYHoCu
Method: DFT, GGA-PBE
State: relaxed

a b c (Å): 3.5224 3.5224 8.7522
angles (deg): 90.00 90.00 90.00
Positions (direct):
Nd 0.0000 0.0000 0.0744
Y 0.5000 0.5000 0.7640
Ho 0.5000 0.5000 0.3803
Cu 0.0000 0.0000 0.5660

Results
Total moment = 0.0 μB per formula unit
Formation enthalpy at 0 K = -0.4 eV/f.u.
Energy = -5.079 eV/atom



23.
Material: Tm2TlIrO8
Method: DFT, GGA-PBE
State: relaxed

a b c (Å): 4.8920 4.8861 6.9720
angles (deg): 90.00 90.00 92.44
Positions (direct):
Tm 0.5000 0.5000 0.7536
Tm 0.5000 0.5000 0.2464
Tl 0.0000 0.0000 0.5000
Ir 0.0000 0.0000 0.0000
O 0.1865 0.8113 0.1993
O 0.7145 0.7167 0.0000
O 0.8135 0.1887 0.1993
O 0.8135 0.1887 0.8007
O 0.2855 0.2833 0.0000
O 0.1865 0.8113 0.8007
O 0.6935 0.6951 0.5000
O 0.3065 0.3049 0.5000

Results
Total moment = 1.9 μB per formula unit
Formation energy (no corrections) = -1817 meV per atom
Energy = -6.803 eV/atom



24.
Material: P2OsPb
Method: DFT, GGA-PBE
State: relaxed

a b c (Å): 4.6004 4.6004 4.5893
angles (deg): 68.63 68.63 105.61
Positions (direct):
Os 0.0000 0.5000 0.5000
P 0.0000 0.0000 0.0000
P 0.5000 0.5000 0.0000
Pb 0.5000 0.0000 0.5000

Results
Total moment = 0.0 μB per formula unit
Formation enthalpy at 0 K = 3.3 eV/f.u.
Energy = -5.611 eV/atom